Entry 1:
Density functional theory data (PBE) for a geometry-optimized Mn2CrRe structure.

Values from the calculation:
Formation energy from the elements ... 13.8 kJ per mole of atoms

CIF file:
```
data_Mn2CrRe
_chemical_formula_sum 'Mn4 Cr2 Re2'
_space_group_name_H-M_alt 'C m m 2'
_space_group_IT_number 35
_cell_length_a 3.005
_cell_length_b 4.170
_cell_length_c 7.995
_cell_angle_alpha 90.00
_cell_angle_beta 90.00
_cell_angle_gamma 90.00
loop_
_space_group_symop_operation_xyz
'x,y,z'
'-x,-y,z'
'-x,y,z'
'x,-y,z'
'x+1/2,y+1/2,z'
'-x+1/2,-y+1/2,z'
'-x+1/2,y+1/2,z'
'x+1/2,-y+1/2,z'
loop_
_atom_site_label
_atom_site_type_symbol
_atom_site_fract_x
_atom_site_fract_y
_atom_site_fract_z
_atom_site_occupancy
Mn1 Mn 0.000 0.000 0.000 1
Mn2 Mn 0.000 0.500 0.240 1
Cr1 Cr 0.000 0.500 0.767 1
Re1 Re 0.000 0.000 0.501 1
```

Entry 2:
Density functional theory data (PBE) for a geometry-optimized MnCrRe structure.

Values from the calculation:
Formation energy from the elements ... 16.2 kJ per mole of atoms

CIF file:
```
data_MnCrRe
_chemical_formula_sum 'Mn2 Cr2 Re2'
_space_group_name_H-M_alt 'I m m 2'
_space_group_IT_number 44
_cell_length_a 2.646
_cell_length_b 3.653
_cell_length_c 7.891
_cell_angle_alpha 90.00
_cell_angle_beta 90.00
_cell_angle_gamma 90.00
loop_
_space_group_symop_operation_xyz
'x,y,z'
'-x,-y,z'
'-x,y,z'
'x,-y,z'
'x+1/2,y+1/2,z+1/2'
'-x+1/2,-y+1/2,z+1/2'
'-x+1/2,y+1/2,z+1/2'
'x+1/2,-y+1/2,z+1/2'
loop_
_atom_site_label
_atom_site_type_symbol
_atom_site_fract_x
_atom_site_fract_y
_atom_site_fract_z
_atom_site_occupancy
Mn1 Mn 0.000 0.000 0.000 1
Cr1 Cr 0.000 0.000 0.657 1
Re1 Re 0.000 0.000 0.331 1
```

Entry 3:
Density functional theory data (PBE) for a geometry-optimized Mn3CrRe2 structure.

Values from the calculation:
Formation energy from the elements ... -8.5 kJ per mole of atoms

CIF file:
```
data_Mn3CrRe2
_chemical_formula_sum 'Mn9 Cr3 Re6'
_space_group_name_H-M_alt 'R -3 m'
_space_group_IT_number 166
_space_group_name_Hall '-R 3 2"'
_cell_length_a 4.7063
_cell_length_b 4.7063
_cell_length_c 11.3945
_cell_angle_alpha 90.00
_cell_angle_beta 90.00
_cell_angle_gamma 120.00
loop_
_atom_site_label
_atom_site_type_symbol
_atom_site_fract_x
_atom_site_fract_y
_atom_site_fract_z
_atom_site_occupancy
Mn1 Mn 0.0000 0.5000 0.0000 1
Cr1 Cr 0.0000 0.0000 0.5000 1
Re1 Re 0.0000 0.0000 0.1245 1
```

Entry 4:
Density functional theory data (PBE) for a geometry-optimized MnCrReRu structure.

Values from the calculation:
Formation energy from the elements ... 8.1 kJ per mole of atoms

CIF file:
```
data_MnCrReRu
_chemical_formula_sum 'Mn4 Cr4 Re4 Ru4'
_space_group_name_H-M_alt 'F -4 3 m'
_space_group_IT_number 216
_space_group_name_Hall 'F -4 2 3'
_cell_length_a 5.981
_cell_length_b 5.981
_cell_length_c 5.981
_cell_angle_alpha 90.00
_cell_angle_beta 90.00
_cell_angle_gamma 90.00
loop_
_atom_site_label
_atom_site_type_symbol
_atom_site_fract_x
_atom_site_fract_y
_atom_site_fract_z
_atom_site_occupancy
Mn1 Mn 0.000 0.000 0.000 1
Cr1 Cr 0.000 0.000 0.500 1
Re1 Re 0.250 0.250 0.750 1
Ru1 Ru 0.250 0.250 0.250 1
```

Entry 5:
Density functional theory data (PBE) for a geometry-optimized MnCrReSb2 structure.

Values from the calculation:
Formation energy without anion corrections ... 1.280 eV/atom

CIF file:
```
data_MnCrReSb2
_chemical_formula_sum 'Mn1 Cr1 Re1 Sb2'
_space_group_name_H-M_alt 'P 4/m m m'
_space_group_IT_number 123
_space_group_name_Hall '-P 4 2'
_cell_length_a 4.840
_cell_length_b 4.840
_cell_length_c 4.211
_cell_angle_alpha 90.00
_cell_angle_beta 90.00
_cell_angle_gamma 90.00
loop_
_atom_site_label
_atom_site_type_symbol
_atom_site_fract_x
_atom_site_fract_y
_atom_site_fract_z
_atom_site_occupancy
Mn1 Mn 0.000 0.000 0.000 1
Cr1 Cr 0.000 0.000 0.500 1
Re1 Re 0.500 0.500 0.500 1
Sb1 Sb 0.000 0.500 0.000 1
```

Entry 6:
Density functional theory data (PBE) for a geometry-optimized ScMnCrRe structure.

Values from the calculation:
Formation energy from the elements ... 2.5 kJ per mole of atoms

CIF file:
```
data_ScMnCrRe
_chemical_formula_sum 'Sc4 Mn4 Cr4 Re4'
_space_group_name_H-M_alt 'F -4 3 m'
_space_group_IT_number 216
_space_group_name_Hall 'F -4 2 3'
_cell_length_a 6.065
_cell_length_b 6.065
_cell_length_c 6.065
_cell_angle_alpha 90.00
_cell_angle_beta 90.00
_cell_angle_gamma 90.00
loop_
_atom_site_label
_atom_site_type_symbol
_atom_site_fract_x
_atom_site_fract_y
_atom_site_fract_z
_atom_site_occupancy
Sc1 Sc 0.000 0.000 0.000 1
Mn1 Mn 0.250 0.250 0.750 1
Cr1 Cr 0.250 0.250 0.250 1
Re1 Re 0.000 0.000 0.500 1
```

Entry 7:
Density functional theory data (PBE) for a geometry-optimized ScMnCrRe2 structure.

Values from the calculation:
Formation energy from the elements ... 142.0 kJ per mole of atoms

CIF file:
```
data_ScMnCrRe2
_chemical_formula_sum 'Sc1 Mn1 Cr1 Re2'
_space_group_name_H-M_alt 'P 4/m m m'
_space_group_IT_number 123
_space_group_name_Hall '-P 4 2'
_cell_length_a 4.447
_cell_length_b 4.447
_cell_length_c 4.460
_cell_angle_alpha 90.00
_cell_angle_beta 90.00
_cell_angle_gamma 90.00
loop_
_atom_site_label
_atom_site_type_symbol
_atom_site_fract_x
_atom_site_fract_y
_atom_site_fract_z
_atom_site_occupancy
Sc1 Sc 0.000 0.000 0.000 1
Mn1 Mn 0.500 0.500 0.000 1
Cr1 Cr 0.000 0.000 0.500 1
Re1 Re 0.000 0.500 0.500 1
```

Entry 8:
Density functional theory data (PBE) for a geometry-optimized Mn5Cr2Re2Si structure.

Values from the calculation:
Formation energy without anion corrections ... 0.179 eV/atom

CIF file:
```
data_Mn5Cr2Re2Si
_chemical_formula_sum 'Mn10 Cr4 Re4 Si2'
_space_group_name_H-M_alt 'P 4/m b m'
_space_group_IT_number 127
_space_group_name_Hall '-P 4 2ab'
_cell_length_a 9.256
_cell_length_b 9.256
_cell_length_c 2.831
_cell_angle_alpha 90.00
_cell_angle_beta 90.00
_cell_angle_gamma 90.00
loop_
_atom_site_label
_atom_site_type_symbol
_atom_site_fract_x
_atom_site_fract_y
_atom_site_fract_z
_atom_site_occupancy
Mn1 Mn 0.000 0.500 0.000 1
Mn2 Mn 0.053 0.195 0.000 1
Cr1 Cr 0.133 0.367 0.500 1
Re1 Re 0.178 0.678 0.500 1
Si1 Si 0.000 0.000 0.500 1
```